[1]
ZnHgSe2 (GGA-PBE, relaxed); energy relative to the elements, uncorrected = 0.3125 eV/atom; theoretical density = 8.31 Mg/m³
1.0
6.972 0.000 0.000
0.000 6.972 0.000
0.000 0.000 6.972
Zn Hg Se
4 4 8
direct
0.000 0.000 0.000 Zn
0.000 0.500 0.500 Zn
0.500 0.000 0.500 Zn
0.500 0.500 0.000 Zn
0.250 0.250 0.750 Hg
0.250 0.750 0.250 Hg
0.750 0.250 0.250 Hg
0.750 0.750 0.750 Hg
0.000 0.000 0.500 Se
0.000 0.500 0.000 Se
0.250 0.250 0.250 Se
0.250 0.750 0.750 Se
0.500 0.000 0.000 Se
0.500 0.500 0.500 Se
0.750 0.250 0.750 Se
0.750 0.750 0.250 Se

---

[2]
ZnHgSe2 (GGA-PBE, relaxed); energy relative to the elements, uncorrected = -0.3741 eV/atom; theoretical density = 5.56 Mg/m³
1.0
10.918 0.000 0.000
0.000 4.235 0.000
0.000 0.000 10.950
Zn Hg Se
4 4 8
direct
0.030 0.250 0.131 Zn
0.470 0.750 0.631 Zn
0.530 0.250 0.369 Zn
0.970 0.750 0.869 Zn
0.140 0.250 0.598 Hg
0.360 0.750 0.098 Hg
0.640 0.250 0.902 Hg
0.860 0.750 0.402 Hg
0.005 0.750 0.652 Se
0.125 0.750 0.050 Se
0.375 0.250 0.550 Se
0.495 0.250 0.152 Se
0.505 0.750 0.848 Se
0.625 0.750 0.450 Se
0.875 0.250 0.950 Se
0.995 0.250 0.348 Se

---

[3]
ZnHgSe (GGA-PBE, relaxed); excess energy over the best structure of this formula in the dataset = 299 meV/atom; energy relative to the elements, uncorrected = 0.0053 eV/atom; theoretical density = 7.66 Mg/m³
1.0
3.945 0.000 0.000
0.000 6.337 0.000
0.000 0.000 11.957
Zn Hg Se
4 4 4
direct
0.000 0.000 0.000 Zn
0.000 0.500 0.500 Zn
0.500 0.000 0.500 Zn
0.500 0.500 0.000 Zn
0.000 0.000 0.681 Hg
0.000 0.500 0.181 Hg
0.500 0.000 0.181 Hg
0.500 0.500 0.681 Hg
0.000 0.000 0.384 Se
0.000 0.500 0.884 Se
0.500 0.000 0.884 Se
0.500 0.500 0.384 Se